Record 1
Computed, not measured: a relaxed structure of NiBi2F at the PBE+U level of DFT.

Cell lengths 6.640, 6.640, 6.640 Å; angles 90.00, 90.00, 90.00 degrees
Space group Fm-3m (No. 225)
Asymmetric unit:
Ni 0.000 0.000 0.000 (multiplicity 4)
Bi 0.250 0.250 0.250 (multiplicity 8)
F 0.000 0.000 0.500 (multiplicity 4)

Values from the calculation:
The value obtained for the relative energy among the computed polymorphs is 0.0 meV per atom. As for the crystal system: cubic.

Record 2
Computed, not measured: a relaxed structure of NiBi2F at the PBE+U level of DFT.

Cell lengths 5.136, 5.136, 14.279 Å; angles 90.00, 90.00, 90.00 degrees
Space group I-42d (No. 122)
Asymmetric unit:
Ni 0.000 0.000 0.000 (multiplicity 4)
Bi 0.244 0.250 0.125 (multiplicity 8)
F 0.000 0.000 0.500 (multiplicity 4)

Values from the calculation:
The value obtained for the relative energy among the computed polymorphs is 148.5 meV per atom. As for the crystal system: tetragonal.

Record 3
Computed, not measured: a relaxed structure of NiBi2F11 at the PBE+U level of DFT.

Cell lengths 8.396, 10.006, 10.456 Å; angles 90.00, 90.00, 90.00 degrees
Space group Ibam (No. 72)
Asymmetric unit:
Ni 0.000 0.000 0.250 (multiplicity 4)
Bi 0.114 0.302 0.000 (multiplicity 8)
F 0.000 0.500 0.000 (multiplicity 4)
F 0.072 0.136 0.130 (multiplicity 16)
F 0.148 0.288 0.500 (multiplicity 8)
F 0.212 0.392 0.159 (multiplicity 16)

Values from the calculation:
The calculation puts the energy at -4.067 eV/atom. As for the crystal system: orthorhombic.

Record 4
Computed, not measured: a relaxed structure of NiBiF at the PBE+U level of DFT.

Cell lengths 11.975, 3.162, 6.124 Å; angles 90.00, 90.00, 90.00 degrees
Space group Amm2 (No. 38)
Asymmetric unit:
Ni 0.000 0.000 0.000 (multiplicity 2)
Ni 0.500 0.000 0.481 (multiplicity 2)
Bi 0.160 0.000 0.687 (multiplicity 4)
F 0.397 0.000 0.981 (multiplicity 4)

Values from the calculation:
The calculation puts the energy at -3.383 eV/atom. As for the crystal system: orthorhombic.

Record 5
Computed, not measured: a relaxed structure of NiBiF6 at the PBE+U level of DFT.

Cell lengths 5.1900, 5.1900, 4.9555 Å; angles 90.00, 90.00, 120.00 degrees
Space group P312 (No. 149)
Asymmetric unit:
Ni 0.0000 0.0000 0.0000 (multiplicity 1)
Bi 0.6667 0.3333 0.5000 (multiplicity 1)
F 0.3159 0.0077 0.7603 (multiplicity 6)

Values from the calculation:
The calculation puts the energy at -4.288 eV/atom. As for the crystal system: trigonal.

Record 6
Computed, not measured: a relaxed structure of NiBiO2F at the PBE+U level of DFT.

Cell lengths 4.010, 4.010, 3.797 Å; angles 90.00, 90.00, 90.00 degrees
Space group P4/mmm (No. 123)
Asymmetric unit:
Ni 0.000 0.000 0.000 (multiplicity 1)
Bi 0.500 0.500 0.500 (multiplicity 1)
O 0.000 0.500 0.000 (multiplicity 2)
F 0.000 0.000 0.500 (multiplicity 1)

Values from the calculation:
The calculation puts the energy at -4.812 eV/atom. As for the crystal system: tetragonal.

Record 7
Computed, not measured: a relaxed structure of NiBiO2F at the PBE+U level of DFT.

Cell lengths 4.383, 4.383, 4.437 Å; angles 90.00, 90.00, 90.00 degrees
Space group P4/mmm (No. 123)
Asymmetric unit:
Ni 0.000 0.000 0.000 (multiplicity 1)
Bi 0.500 0.500 0.500 (multiplicity 1)
O 0.000 0.500 0.500 (multiplicity 2)
F 0.500 0.500 0.000 (multiplicity 1)

Values from the calculation:
The calculation puts the energy at -4.056 eV/atom. As for the crystal system: tetragonal.

Record 8
Computed, not measured: a relaxed structure of NiBiOF2 at the PBE+U level of DFT.

Cell lengths 4.547, 4.547, 4.496 Å; angles 90.00, 90.00, 90.00 degrees
Space group P4/mmm (No. 123)
Asymmetric unit:
Ni 0.000 0.000 0.000 (multiplicity 1)
Bi 0.500 0.500 0.500 (multiplicity 1)
O 0.500 0.500 0.000 (multiplicity 1)
F 0.000 0.500 0.500 (multiplicity 2)

Values from the calculation:
The value obtained for the relative energy among the computed polymorphs is 341.2 meV per atom. As for the crystal system: tetragonal.

Record 9
Computed, not measured: a relaxed structure of NiBiOF2 at the PBE+U level of DFT.

Cell lengths 4.001, 4.001, 4.119 Å; angles 90.00, 90.00, 90.00 degrees
Space group P4/mmm (No. 123)
Asymmetric unit:
Ni 0.000 0.000 0.000 (multiplicity 1)
Bi 0.500 0.500 0.500 (multiplicity 1)
O 0.000 0.000 0.500 (multiplicity 1)
F 0.000 0.500 0.000 (multiplicity 2)

Values from the calculation:
The value obtained for the relative energy among the computed polymorphs is 0.0 meV per atom. As for the crystal system: tetragonal.

Record 10
Computed, not measured: a relaxed structure of RbNiBiF6 at the PBE+U level of DFT.

Cell lengths 5.433, 5.823, 5.830 Å; angles 119.93, 90.02, 90.07 degrees
Space group P1 (No. 1)
Asymmetric unit:
Rb 0.000 0.000 0.000 (multiplicity 1)
Ni 0.430 0.333 0.667 (multiplicity 1)
Bi 0.496 0.667 0.333 (multiplicity 1)
F 0.230 0.428 0.424 (multiplicity 1)
F 0.230 0.575 0.004 (multiplicity 1)
F 0.230 0.995 0.571 (multiplicity 1)
F 0.630 0.060 0.360 (multiplicity 1)
F 0.630 0.299 0.941 (multiplicity 1)
F 0.630 0.642 0.701 (multiplicity 1)

Values from the calculation:
The calculation puts the energy at -4.507 eV/atom. As for the crystal system: triclinic.

Record 11
Computed, not measured: a relaxed structure of Rb2Ni3BiF12 at the PBE+U level of DFT.

Cell lengths 7.4054, 7.4054, 18.4336 Å; angles 90.00, 90.00, 120.00 degrees
Space group R-3m (No. 166, hexagonal axes)
Asymmetric unit:
Rb 0.0000 0.0000 0.1100 (multiplicity 6)
Ni 0.0000 0.5000 0.0000 (multiplicity 9)
Bi 0.0000 0.0000 0.5000 (multiplicity 3)
F 0.0187 0.5094 0.1103 (multiplicity 18)
F 0.0726 0.5363 0.3360 (multiplicity 18)

Values from the calculation:
The calculation puts the energy at -4.297 eV/atom. As for the crystal system: trigonal.

Record 12
Computed, not measured: a relaxed structure of Re2NiBiF at the PBE+U level of DFT.

Cell lengths 4.558, 4.558, 5.070 Å; angles 90.00, 90.00, 90.00 degrees
Space group P4/mmm (No. 123)
Asymmetric unit:
Re 0.000 0.500 0.000 (multiplicity 2)
Ni 0.000 0.000 0.000 (multiplicity 1)
Bi 0.000 0.000 0.500 (multiplicity 1)
F 0.500 0.500 0.500 (multiplicity 1)

Values from the calculation:
The calculation puts the energy at -4.868 eV/atom. As for the crystal system: tetragonal.

Record 13
Computed, not measured: a relaxed structure of NiBiRhF2 at the PBE+U level of DFT.

Cell lengths 4.396, 4.396, 5.418 Å; angles 90.00, 90.00, 90.00 degrees
Space group P4/mmm (No. 123)
Asymmetric unit:
Ni 0.000 0.000 0.000 (multiplicity 1)
Bi 0.000 0.000 0.500 (multiplicity 1)
Rh 0.500 0.500 0.000 (multiplicity 1)
F 0.000 0.500 0.500 (multiplicity 2)

Values from the calculation:
The calculation puts the energy at -3.671 eV/atom. As for the crystal system: tetragonal.

Record 14
Computed, not measured: a relaxed structure of ScNi2BiF at the PBE+U level of DFT.

Cell lengths 4.496, 4.496, 3.990 Å; angles 90.00, 90.00, 90.00 degrees
Space group P4/mmm (No. 123)
Asymmetric unit:
Sc 0.000 0.000 0.000 (multiplicity 1)
Ni 0.000 0.500 0.500 (multiplicity 2)
Bi 0.500 0.500 0.000 (multiplicity 1)
F 0.000 0.000 0.500 (multiplicity 1)

Values from the calculation:
The calculation puts the energy at -3.497 eV/atom. As for the crystal system: tetragonal.

Record 15
Computed, not measured: a relaxed structure of TaNiBiF2 at the PBE+U level of DFT.

Cell lengths 3.954, 3.954, 5.978 Å; angles 90.00, 90.00, 90.00 degrees
Space group P4/mmm (No. 123)
Asymmetric unit:
Ta 0.000 0.000 0.000 (multiplicity 1)
Ni 0.000 0.000 0.500 (multiplicity 1)
Bi 0.500 0.500 0.000 (multiplicity 1)
F 0.000 0.500 0.500 (multiplicity 2)

Values from the calculation:
The calculation puts the energy at -4.846 eV/atom. As for the crystal system: tetragonal.

Record 16
Computed, not measured: a relaxed structure of TlNiBiF2 at the PBE+U level of DFT.

Cell lengths 4.414, 4.414, 6.421 Å; angles 90.00, 90.00, 90.00 degrees
Space group P4/mmm (No. 123)
Asymmetric unit:
Tl 0.000 0.000 0.000 (multiplicity 1)
Ni 0.500 0.500 0.000 (multiplicity 1)
Bi 0.000 0.000 0.500 (multiplicity 1)
F 0.000 0.500 0.500 (multiplicity 2)

Values from the calculation:
The calculation puts the energy at -2.898 eV/atom. As for the crystal system: tetragonal.

Record 17
Computed, not measured: a relaxed structure of TlNiBiF6 at the PBE+U level of DFT.

Cell lengths 5.8788, 5.8788, 11.4571 Å; angles 90.00, 90.00, 120.00 degrees
Space group P-31c (No. 163)
Asymmetric unit:
Tl 0.0000 0.0000 0.0000 (multiplicity 2)
Ni 0.3333 0.6667 0.2500 (multiplicity 2)
Bi 0.3333 0.6667 0.7500 (multiplicity 2)
F 0.0307 0.3932 0.1503 (multiplicity 12)

Values from the calculation:
The calculation puts the energy at -4.431 eV/atom. As for the crystal system: trigonal.

Record 18
Computed, not measured: a relaxed structure of Tl2Ni3BiF12 at the PBE+U level of DFT.

Cell lengths 7.4844, 7.4844, 15.6124 Å; angles 90.00, 90.00, 120.00 degrees
Space group R-3m (No. 166, hexagonal axes)
Asymmetric unit:
Tl 0.0000 0.0000 0.1063 (multiplicity 6)
Ni 0.0000 0.5000 0.0000 (multiplicity 9)
Bi 0.0000 0.0000 0.5000 (multiplicity 3)
F 0.0494 0.5247 0.8734 (multiplicity 18)
F 0.0905 0.5452 0.2995 (multiplicity 18)

Values from the calculation:
The calculation puts the energy at -4.216 eV/atom. As for the crystal system: trigonal.

Record 19
Computed, not measured: a relaxed structure of ZnNiBiF2 at the PBE+U level of DFT.

Cell lengths 3.979, 3.979, 5.696 Å; angles 90.00, 90.00, 90.00 degrees
Space group P4/mmm (No. 123)
Asymmetric unit:
Zn 0.000 0.000 0.000 (multiplicity 1)
Ni 0.000 0.000 0.500 (multiplicity 1)
Bi 0.500 0.500 0.000 (multiplicity 1)
F 0.000 0.500 0.500 (multiplicity 2)

Values from the calculation:
The calculation puts the energy at -3.146 eV/atom. As for the crystal system: tetragonal.

Ordered D(E_F) results: 11.83, 5.65, 11.04, 4.15, 2.66, 0.49, 5.22, 0.54, 1.72, 0.00, 15.28, 4.43, 1.74, 2.74, 2.30, 4.68, 0.00, 8.90, 2.32; unit states/eV/cell.